Entry 1:
# Pu2CoPt, relaxed, DFT PBE
data_Pu2CoPt
_chemical_formula_sum 'Pu2 Co1 Pt1'
_cell_length_a 3.398
_cell_length_b 3.398
_cell_length_c 6.897
_cell_angle_alpha 90.00
_cell_angle_beta 90.00
_cell_angle_gamma 90.00
_space_group_name_H-M_alt 'P 4/m m m'
_space_group_IT_number 123
_space_group_name_Hall '-P 4 2'
loop_
_atom_site_label
_atom_site_fract_x
_atom_site_fract_y
_atom_site_fract_z
Pu1 0.000 0.000 0.236
Co1 0.500 0.500 0.000
Pt1 0.500 0.500 0.500
# crystal system	tetragonal

Entry 2:
# Fe2NiIr, relaxed, DFT PBE
data_Fe2NiIr
_chemical_formula_sum 'Fe8 Ni4 Ir4'
_cell_length_a 5.862
_cell_length_b 5.862
_cell_length_c 5.862
_cell_angle_alpha 90.00
_cell_angle_beta 90.00
_cell_angle_gamma 90.00
_space_group_name_H-M_alt 'F -4 3 m'
_space_group_IT_number 216
_space_group_name_Hall 'F -4 2 3'
loop_
_atom_site_label
_atom_site_fract_x
_atom_site_fract_y
_atom_site_fract_z
Fe1 0.000 0.000 0.000
Fe2 0.250 0.250 0.250
Ni1 0.000 0.000 0.500
Ir1 0.250 0.250 0.750
# crystal system	cubic

Entry 3:
# Tl2CuSnOs, relaxed, DFT PBE
data_Tl2CuSnOs
_chemical_formula_sum 'Tl2 Cu1 Sn1 Os1'
_cell_length_a 5.019
_cell_length_b 5.019
_cell_length_c 4.880
_cell_angle_alpha 90.00
_cell_angle_beta 90.00
_cell_angle_gamma 90.00
_space_group_name_H-M_alt 'P 4/m m m'
_space_group_IT_number 123
_space_group_name_Hall '-P 4 2'
loop_
_atom_site_label
_atom_site_fract_x
_atom_site_fract_y
_atom_site_fract_z
Tl1 0.000 0.500 0.000
Cu1 0.000 0.000 0.000
Sn1 0.500 0.500 0.500
Os1 0.000 0.000 0.500
# crystal system	tetragonal

In the order shown, the computed total magnetic moment values come out to 2.50; 1.66; 0.36 μB/atom.
In the order shown, the computed formation energy from the elements values come out to -0.304; 0.070; 1.053 eV/atom.